Record 1
A relaxed AcCuHg3 crystal. Source: the Alexandria database, functional PBE.

Lattice parameters (Å, degrees): 5.3009 9.9836 9.4332 90.00 90.00 90.00
Sites, in units of the cell vectors:
Hg: 0.7500 0.0906 0.1838
Hg: 0.2500 0.0794 0.4082
Hg: 0.7500 0.6044 0.6569
Hg: 0.2500 0.8956 0.1569
Hg: 0.7500 0.9206 0.5918
Hg: 0.2500 0.4094 0.6838
Hg: 0.7500 0.5906 0.3162
Hg: 0.7500 0.4206 0.9082
Hg: 0.2500 0.9094 0.8162
Hg: 0.7500 0.1044 0.8431
Hg: 0.2500 0.3956 0.3431
Hg: 0.2500 0.5794 0.0918
Ac: 0.7500 0.2654 0.5193
Ac: 0.7500 0.7654 0.9807
Ac: 0.2500 0.7346 0.4807
Ac: 0.2500 0.2346 0.0193
Cu: 0.2500 0.1417 0.6889
Cu: 0.7500 0.3582 0.1889
Cu: 0.7500 0.8582 0.3111
Cu: 0.2500 0.6418 0.8111

Energy above the most stable polymorph in this dataset: 0 meV per atom
Final energy: -2.09 eV/atom
Space-group type: Pnma, No. 62
Density of states at the Fermi level: 9.2 states/eV per cell

=====

Record 2
A relaxed Ac3CuHg2 crystal. Source: the Alexandria database, functional PBE.

Lattice parameters (Å, degrees): 6.4811 7.9954 8.6454 101.76 112.01 90.00
Sites, in units of the cell vectors:
Ac: 0.0863 0.0397 0.2994
Ac: 0.4308 0.7500 0.0000
Ac: 0.2131 0.5397 0.2994
Ac: 0.9137 0.9603 0.7006
Ac: 0.5692 0.2500 0.0000
Ac: 0.7869 0.4603 0.7006
Cu: 0.0695 0.2500 0.0000
Cu: 0.9305 0.7500 0.0000
Hg: 0.3937 0.8660 0.6422
Hg: 0.6063 0.1340 0.3578
Hg: 0.2485 0.3660 0.6422
Hg: 0.7515 0.6340 0.3578

Energy above the most stable polymorph in this dataset: 119 meV per atom
Final energy: -3.05 eV/atom
Space-group type: C2/c, No. 15
Density of states at the Fermi level: 11.3 states/eV per cell

=====

Record 3
A relaxed AcCu2Hg crystal. Source: the Alexandria database, functional PBE.

Lattice parameters (Å, degrees): 4.6010 4.6010 5.6583 66.01 66.01 60.00
Sites, in units of the cell vectors:
Cu: 0.7950 0.7950 0.6151
Cu: 0.2050 0.2050 0.3849
Ac: 0.0000 0.0000 0.0000
Hg: 0.5000 0.5000 0.5000

Final energy: -3.32 eV/atom
Space-group type: R-3m, No. 166
Density of states at the Fermi level: 2.8 states/eV per cell

=====

Record 4
A relaxed Ac3Cu2Hg4 crystal. Source: the Alexandria database, functional PBE.

Lattice parameters (Å, degrees): 4.8534 6.2868 9.4215 71.18 75.07 67.29
Sites, in units of the cell vectors:
Ac: 0.0000 0.0000 0.0000
Ac: 0.6686 0.3170 0.3459
Ac: 0.3314 0.6830 0.6541
Hg: 0.9505 0.7264 0.3726
Hg: 0.2773 0.3710 0.0743
Hg: 0.0495 0.2736 0.6274
Hg: 0.7227 0.6290 0.9257
Cu: 0.6050 0.0671 0.7230
Cu: 0.3950 0.9329 0.2770

Final energy: -2.78 eV/atom
Space-group type: C2/m, No. 12
Density of states at the Fermi level: 6.4 states/eV per cell

=====

Record 5
A relaxed AcCuHg crystal. Source: the Alexandria database, functional PBE.

Lattice parameters (Å, degrees): 6.5971 6.9816 8.5789 126.26 90.00 90.00
Sites, in units of the cell vectors:
Ac: 0.8551 0.2048 0.9311
Ac: 0.1449 0.7952 0.0689
Ac: 0.3551 0.7952 0.5689
Ac: 0.6449 0.2048 0.4311
Cu: 0.9372 0.6500 0.6696
Cu: 0.4372 0.3500 0.8304
Cu: 0.5628 0.6500 0.1696
Cu: 0.0628 0.3500 0.3304
Hg: 0.1343 0.2503 0.5883
Hg: 0.6343 0.7497 0.9117
Hg: 0.8657 0.7497 0.4117
Hg: 0.3657 0.2503 0.0883

Energy above the most stable polymorph in this dataset: 48 meV per atom
Final energy: -3.11 eV/atom
Space-group type: P2_1/c, No. 14
Density of states at the Fermi level: 8.1 states/eV per cell

=====

Record 6
A relaxed AcCuHg crystal. Source: the Alexandria database, functional PBE.

Lattice parameters (Å, degrees): 4.4682 4.1044 10.0450 101.79 116.73 90.00
Sites, in units of the cell vectors:
Ac: 0.4607 0.1031 0.2062
Ac: 0.5393 0.8969 0.7938
Hg: 0.1592 0.7013 0.4026
Hg: 0.8408 0.2987 0.5974
Cu: 0.8205 0.5350 0.0700
Cu: 0.1795 0.4650 0.9300

Energy above the most stable polymorph in this dataset: 5 meV per atom
Final energy: -3.15 eV/atom
Space-group type: C2/m, No. 12
Density of states at the Fermi level: 4.0 states/eV per cell

=====

Record 7
A relaxed Ac3CuHg3 crystal. Source: the Alexandria database, functional PBE.

Lattice parameters (Å, degrees): 5.0096 4.0832 11.0180 100.68 103.14 90.00
Sites, in units of the cell vectors:
Hg: 0.1450 0.6450 0.2901
Hg: 0.5582 0.5582 0.1164
Hg: 0.8632 0.3632 0.7264
Ac: 0.3169 0.8169 0.6339
Ac: 0.9956 0.9956 0.9911
Ac: 0.6895 0.1895 0.3791
Cu: 0.4315 0.4315 0.8631

Final energy: -2.85 eV/atom
Space-group type: Imm2, No. 44
Density of states at the Fermi level: 6.4 states/eV per cell

=====

Record 8
A relaxed Ac3CuHg2 crystal. Source: the Alexandria database, functional PBE.

Lattice parameters (Å, degrees): 3.9724 5.6577 8.8518 108.64 90.00 90.00
Sites, in units of the cell vectors:
Ac: 0.5000 0.5000 0.0000
Ac: 0.5000 0.1563 0.3125
Ac: 0.5000 0.8437 0.6875
Hg: 0.0000 0.6728 0.3456
Hg: 0.0000 0.3272 0.6544
Cu: 0.0000 0.0000 0.0000

Energy above the most stable polymorph in this dataset: 0 meV per atom
Final energy: -3.17 eV/atom
Space-group type: Cmmm, No. 65
Density of states at the Fermi level: 6.2 states/eV per cell

=====

no.,energy relative to the elements (meV/atom)
1,-264
2,-217
3,-166
4,-364
5,-274
6,-317
7,-374
8,-335